Model a:
Compound: NaSb2Au
Source: Alexandria
Functional: PBE-GGA
Structure: relaxed

Values from the calculation:
The density comes out at 7.56 Mg/m³.

a b c (Å): 4.417 6.055 8.188
angles (deg): 90.00 90.00 111.58
Atoms (fractional coordinates):
Sb (0.628, 0.259, 0.042)
Sb (0.372, 0.741, 0.958)
Sb (0.628, 0.259, 0.458)
Na (0.058, 0.118, 0.750)
Na (0.942, 0.882, 0.250)
Sb (0.372, 0.741, 0.542)
Au (0.774, 0.543, 0.750)
Au (0.226, 0.457, 0.250)

Model b:
Compound: NaSb2Au
Source: Alexandria
Functional: PBE-GGA
Structure: relaxed

Values from the calculation:
The density comes out at 6.69 Mg/m³.

a b c (Å): 4.646 4.121 9.358
angles (deg): 90.00 140.07 90.00
Atoms (fractional coordinates):
Sb (0.596, 0.000, 0.188)
Sb (0.404, 0.000, 0.812)
Na (0.500, 0.500, 0.500)
Au (0.000, 0.500, 0.000)

Model c:
Compound: NaSb2Au
Source: Alexandria
Functional: PBE-GGA
Structure: relaxed

Values from the calculation:
The density comes out at 6.75 Mg/m³.

a b c (Å): 4.262 4.262 7.653
angles (deg): 73.83 73.83 60.00
Atoms (fractional coordinates):
Sb (0.727, 0.727, 0.818)
Au (0.000, 0.000, 0.000)
Na (0.500, 0.500, 0.500)
Sb (0.273, 0.273, 0.182)

Pick model b: it beats the second-best structure by 43 meV/atom.